1.
# GGA-PBE Ca2PmPt3, relaxed
# Energy of formation from the pure elements   -5.91 eV per formula unit
# Total energy   -5.46 eV/atom
# ρ   10.2 Mg/m³
# Spin magnetization   0.00 Bohr magnetons per cell
data_Ca2PmPt3
_chemical_formula_sum 'Ca8 Pm4 Pt12'
_space_group_name_H-M_alt 'C m m m'
_space_group_IT_number 65
_space_group_name_Hall '-C 2 2'
_cell_length_a 4.985
_cell_length_b 14.968
_cell_length_c 7.067
_cell_angle_alpha 90.00
_cell_angle_beta 90.00
_cell_angle_gamma 90.00
loop_
_atom_site_label
_atom_site_fract_x
_atom_site_fract_y
_atom_site_fract_z
Ca1 0.000 0.000 0.000
Ca2 0.000 0.000 0.500
Ca3 0.000 0.333 0.000
Pm1 0.000 0.337 0.500
Pt1 0.000 0.171 0.259
Pt2 0.000 0.500 0.249

2.
# GGA-PBE CaPm4Pt2, relaxed
# Energy of formation from the pure elements   -4.30 eV per formula unit
# Total energy   -5.34 eV/atom
# Offset from the most stable computed form   0 meV per atom
# ρ   8.2 Mg/m³
# Spin magnetization   0.00 Bohr magnetons per cell
data_CaPm4Pt2
_chemical_formula_sum 'Ca2 Pm8 Pt4'
_space_group_name_H-M_alt 'P 1 21/m 1'
_space_group_IT_number 11
_space_group_name_Hall '-P 2yb'
_cell_length_a 8.058
_cell_length_b 6.675
_cell_length_c 8.141
_cell_angle_alpha 90.00
_cell_angle_beta 111.72
_cell_angle_gamma 90.00
loop_
_atom_site_label
_atom_site_fract_x
_atom_site_fract_y
_atom_site_fract_z
Ca1 0.159 0.250 0.017
Pm1 0.017 0.250 0.379
Pm2 0.248 0.750 0.338
Pm3 0.408 0.003 0.757
Pt1 0.283 0.750 0.993
Pt2 0.378 0.250 0.412

3.
# GGA-PBE CaPm4Pt2, relaxed
# Energy of formation from the pure elements   -3.68 eV per formula unit
# Total energy   -5.25 eV/atom
# Offset from the most stable computed form   87 meV per atom
# ρ   7.4 Mg/m³
# Spin magnetization   0.00 Bohr magnetons per cell
data_CaPm4Pt2
_chemical_formula_sum 'Ca2 Pm8 Pt4'
_space_group_name_H-M_alt 'P 1'
_space_group_IT_number 1
_space_group_name_Hall 'P 1'
_cell_length_a 7.498
_cell_length_b 7.499
_cell_length_c 8.916
_cell_angle_alpha 106.35
_cell_angle_beta 106.33
_cell_angle_gamma 97.06
loop_
_atom_site_label
_atom_site_fract_x
_atom_site_fract_y
_atom_site_fract_z
Ca1 0.000 0.000 0.000
Ca2 0.035 0.966 0.501
Pm1 0.210 0.669 0.739
Pm2 0.252 0.708 0.227
Pm3 0.265 0.317 0.395
Pm4 0.351 0.230 0.897
Pm5 0.690 0.690 0.591
Pm6 0.705 0.175 0.239
Pm7 0.728 0.653 0.090
Pm8 0.737 0.212 0.723
Pt1 0.499 0.466 0.740
Pt2 0.504 0.467 0.241
Pt3 0.588 0.942 0.880
Pt4 0.979 0.554 0.380

4.
# GGA-PBE CaPmPt2, relaxed
# Energy of formation from the pure elements   -4.08 eV per formula unit
# Total energy   -5.73 eV/atom
# Offset from the most stable computed form   33 meV per atom
# ρ   10.8 Mg/m³
# Spin magnetization   0.00 Bohr magnetons per cell
data_CaPmPt2
_chemical_formula_sum 'Ca4 Pm4 Pt8'
_space_group_name_H-M_alt 'F m -3 m'
_space_group_IT_number 225
_space_group_name_Hall '-F 4 2 3'
_cell_length_a 7.068
_cell_length_b 7.068
_cell_length_c 7.068
_cell_angle_alpha 90.00
_cell_angle_beta 90.00
_cell_angle_gamma 90.00
loop_
_atom_site_label
_atom_site_fract_x
_atom_site_fract_y
_atom_site_fract_z
Ca1 0.000 0.000 0.000
Pm1 0.000 0.000 0.500
Pt1 0.250 0.250 0.250

5.
# GGA-PBE CaPmPt2, relaxed
# Energy of formation from the pure elements   -3.48 eV per formula unit
# Total energy   -5.58 eV/atom
# Offset from the most stable computed form   185 meV per atom
# ρ   9.4 Mg/m³
# Spin magnetization   0.00 Bohr magnetons per cell
data_CaPmPt2
_chemical_formula_sum 'Ca3 Pm3 Pt6'
_space_group_name_H-M_alt 'R 3 m'
_space_group_IT_number 160
_space_group_name_Hall 'R 3 -2"'
_cell_length_a 4.0855
_cell_length_b 4.0855
_cell_length_c 21.1027
_cell_angle_alpha 90.00
_cell_angle_beta 90.00
_cell_angle_gamma 120.00
loop_
_atom_site_label
_atom_site_fract_x
_atom_site_fract_y
_atom_site_fract_z
Ca1 0.0000 0.0000 0.0000
Pm1 0.0000 0.0000 0.1715
Pt1 0.0000 0.0000 0.5867
Pt2 0.0000 0.0000 0.7533

6.
# GGA-PBE Ca5PmPt6, relaxed
# Energy of formation from the pure elements   -11.25 eV per formula unit
# Total energy   -5.19 eV/atom
# ρ   9.7 Mg/m³
# Spin magnetization   0.00 Bohr magnetons per cell
data_Ca5PmPt6
_chemical_formula_sum 'Ca5 Pm1 Pt6'
_space_group_name_H-M_alt 'P 1 2/m 1'
_space_group_IT_number 10
_space_group_name_Hall '-P 2y'
_cell_length_a 4.952
_cell_length_b 7.090
_cell_length_c 7.794
_cell_angle_alpha 90.00
_cell_angle_beta 108.14
_cell_angle_gamma 90.00
loop_
_atom_site_label
_atom_site_fract_x
_atom_site_fract_y
_atom_site_fract_z
Ca1 0.000 0.000 0.000
Ca2 0.330 0.500 0.659
Ca3 0.334 0.000 0.667
Pm1 0.000 0.500 0.000
Pt1 0.162 0.250 0.327
Pt2 0.500 0.258 0.000

7.
# GGA-PBE CaPmPt, relaxed
# Energy of formation from the pure elements   -2.32 eV per formula unit
# Total energy   -5.04 eV/atom
# Offset from the most stable computed form   0 meV per atom
# ρ   6.8 Mg/m³
# Spin magnetization   0.00 Bohr magnetons per cell
data_CaPmPt
_chemical_formula_sum 'Ca4 Pm4 Pt4'
_space_group_name_H-M_alt 'C 1 2/m 1'
_space_group_IT_number 12
_space_group_name_Hall '-C 2y'
_cell_length_a 7.405
_cell_length_b 8.662
_cell_length_c 5.864
_cell_angle_alpha 90.00
_cell_angle_beta 100.93
_cell_angle_gamma 90.00
loop_
_atom_site_label
_atom_site_fract_x
_atom_site_fract_y
_atom_site_fract_z
Ca1 0.227 0.000 0.436
Pm1 0.000 0.292 0.000
Pt1 0.184 0.000 0.921

8.
# GGA-PBE Ca3PmPt2, relaxed
# Energy of formation from the pure elements   -4.65 eV per formula unit
# Total energy   -4.58 eV/atom
# Offset from the most stable computed form   0 meV per atom
# ρ   6.8 Mg/m³
# Spin magnetization   0.00 Bohr magnetons per cell
data_Ca3PmPt2
_chemical_formula_sum 'Ca6 Pm2 Pt4'
_space_group_name_H-M_alt 'P m c 21'
_space_group_IT_number 26
_space_group_name_Hall 'P 2c -2'
_cell_length_a 4.539
_cell_length_b 9.276
_cell_length_c 7.572
_cell_angle_alpha 90.00
_cell_angle_beta 90.00
_cell_angle_gamma 90.00
loop_
_atom_site_label
_atom_site_fract_x
_atom_site_fract_y
_atom_site_fract_z
Ca1 0.000 0.087 0.000
Ca2 0.000 0.315 0.381
Ca3 0.500 0.176 0.667
Pm1 0.500 0.415 0.043
Pt1 0.000 0.374 0.776
Pt2 0.500 0.144 0.258

Repeat the eighth record exactly.
# GGA-PBE Ca3PmPt2, relaxed
# Energy of formation from the pure elements   -4.65 eV per formula unit
# Total energy   -4.58 eV/atom
# Offset from the most stable computed form   0 meV per atom
# ρ   6.8 Mg/m³
# Spin magnetization   0.00 Bohr magnetons per cell
data_Ca3PmPt2
_chemical_formula_sum 'Ca6 Pm2 Pt4'
_space_group_name_H-M_alt 'P m c 21'
_space_group_IT_number 26
_space_group_name_Hall 'P 2c -2'
_cell_length_a 4.539
_cell_length_b 9.276
_cell_length_c 7.572
_cell_angle_alpha 90.00
_cell_angle_beta 90.00
_cell_angle_gamma 90.00
loop_
_atom_site_label
_atom_site_fract_x
_atom_site_fract_y
_atom_site_fract_z
Ca1 0.000 0.087 0.000
Ca2 0.000 0.315 0.381
Ca3 0.500 0.176 0.667
Pm1 0.500 0.415 0.043
Pt1 0.000 0.374 0.776
Pt2 0.500 0.144 0.258